Computed, not measured: crystalline NbNiAgBi at its relaxed geometry at the PBE-GGA level of DFT.

Calculated values
**Calculated total energy**: -5.216 eV/atom

Structure (POSCAR):
```
NbNiAgBi
1.0
0.0000 3.3237 3.3237
3.3237 0.0000 3.3237
3.3237 3.3237 0.0000
Ag Bi Nb Ni
1 1 1 1
Direct
0.5000 0.5000 0.5000
0.0000 0.0000 0.0000
0.2500 0.2500 0.2500
0.7500 0.7500 0.7500
```

***

Computed, not measured: crystalline Pm5HgIr2 at its relaxed geometry at the PBE-GGA level of DFT.

Calculated values
**Calculated total energy**: -5.807 eV/atom

Structure (POSCAR):
```
Pm5HgIr2
1.0
-3.9894 3.9894 6.8486
3.9894 -3.9894 6.8486
3.9894 3.9894 -6.8486
Hg Ir Pm
2 4 10
Direct
0.2500 0.2500 0.0000
0.7500 0.7500 0.0000
0.8620 0.3620 0.2239
0.3620 0.1380 0.5000
0.6380 0.8620 0.5000
0.1380 0.6380 0.7761
0.0000 0.0000 0.0000
0.5000 0.5000 0.0000
0.2048 0.7048 0.1768
0.4721 0.9721 0.1768
0.0279 0.2048 0.5000
0.2952 0.4721 0.5000
0.7048 0.5279 0.5000
0.9721 0.7952 0.5000
0.5279 0.0279 0.8232
0.7952 0.2952 0.8232
```

***

Sequential magnetic moment output: 0.1; 0.0 μB/cell